Record 1
# Sm5Tl2Pt2, relaxed, DFT GGA-PBE
data_Sm5Tl2Pt2
_cell_length_a 16.012
_cell_length_b 8.548
_cell_length_c 7.434
_cell_angle_alpha 90.00
_cell_angle_beta 90.00
_cell_angle_gamma 90.00
_symmetry_space_group_name_H-M 'C m c e'
_symmetry_Int_Tables_number 64
_symmetry_space_group_name_Hall '-C 2ac 2'
loop_
_atom_site_label
_atom_site_type_symbol
_atom_site_fract_x
_atom_site_fract_y
_atom_site_fract_z
Sm1 Sm 0.000 0.000 0.000
Sm2 Sm 0.121 0.179 0.345
Tl1 Tl 0.214 0.000 0.000
Pt1 Pt 0.000 0.122 0.636
# Energy of formation = -688 meV/atom
# DFT total energy = -5.18 eV/atom
# Magnetic moment = 0.0 μB per formula unit
# Calculated density = 10.12 g cm⁻³

---

Record 2
# Sm4Tl5Pt2, relaxed, DFT GGA-PBE
data_Sm4Tl5Pt2
_cell_length_a 8.054
_cell_length_b 3.751
_cell_length_c 9.842
_cell_angle_alpha 90.00
_cell_angle_beta 93.83
_cell_angle_gamma 90.00
_symmetry_space_group_name_H-M 'P 1 2/m 1'
_symmetry_Int_Tables_number 10
_symmetry_space_group_name_Hall '-P 2y'
loop_
_atom_site_label
_atom_site_type_symbol
_atom_site_fract_x
_atom_site_fract_y
_atom_site_fract_z
Sm1 Sm 0.190 0.000 0.346
Sm2 Sm 0.214 0.000 0.929
Tl1 Tl 0.153 0.500 0.636
Tl2 Tl 0.459 0.500 0.166
Tl3 Tl 0.500 0.500 0.500
Pt1 Pt 0.079 0.500 0.134
# Energy of formation = -607 meV/atom
# DFT total energy = -4.50 eV/atom
# Magnetic moment = 0.0 μB per formula unit
# Calculated density = 11.27 g cm⁻³

---

Record 3
# SmTlZnPt, relaxed, DFT GGA-PBE
data_SmTlZnPt
_cell_length_a 6.972
_cell_length_b 6.972
_cell_length_c 6.972
_cell_angle_alpha 90.00
_cell_angle_beta 90.00
_cell_angle_gamma 90.00
_symmetry_space_group_name_H-M 'F -4 3 m'
_symmetry_Int_Tables_number 216
_symmetry_space_group_name_Hall 'F -4 2 3'
loop_
_atom_site_label
_atom_site_type_symbol
_atom_site_fract_x
_atom_site_fract_y
_atom_site_fract_z
Sm1 Sm 0.000 0.000 0.000
Tl1 Tl 0.000 0.000 0.500
Zn1 Zn 0.250 0.250 0.750
Pt1 Pt 0.250 0.250 0.250
# Energy of formation = -478 meV/atom
# DFT total energy = -4.08 eV/atom
# Magnetic moment = 0.0 μB per formula unit
# Calculated density = 12.06 g cm⁻³

---

Record 4
# SmTmPt10, relaxed, DFT GGA-PBE
data_SmTmPt10
_cell_length_a 4.461
_cell_length_b 5.376
_cell_length_c 9.254
_cell_angle_alpha 90.00
_cell_angle_beta 90.00
_cell_angle_gamma 90.00
_symmetry_space_group_name_H-M 'P m m m'
_symmetry_Int_Tables_number 47
_symmetry_space_group_name_Hall '-P 2 2'
loop_
_atom_site_label
_atom_site_type_symbol
_atom_site_fract_x
_atom_site_fract_y
_atom_site_fract_z
Sm1 Sm 0.000 0.000 0.000
Tm1 Tm 0.000 0.500 0.500
Pt1 Pt 0.000 0.000 0.336
Pt2 Pt 0.000 0.500 0.171
Pt3 Pt 0.500 0.000 0.500
Pt4 Pt 0.500 0.251 0.252
Pt5 Pt 0.500 0.500 0.000
# Energy of formation = -684 meV/atom
# DFT total energy = -6.48 eV/atom
# Magnetic moment = 0.0 μB per formula unit
# Calculated density = 16.98 g cm⁻³

---

Record 5
# SmTmPt2, relaxed, DFT GGA-PBE
data_SmTmPt2
_cell_length_a 3.499
_cell_length_b 3.499
_cell_length_c 7.056
_cell_angle_alpha 90.00
_cell_angle_beta 90.00
_cell_angle_gamma 90.00
_symmetry_space_group_name_H-M 'P 4/m m m'
_symmetry_Int_Tables_number 123
_symmetry_space_group_name_Hall '-P 4 2'
loop_
_atom_site_label
_atom_site_type_symbol
_atom_site_fract_x
_atom_site_fract_y
_atom_site_fract_z
Sm1 Sm 0.000 0.000 0.000
Tm1 Tm 0.000 0.000 0.500
Pt1 Pt 0.500 0.500 0.266
# Energy of formation = -1186 meV/atom
# Excess energy over the best structure of this formula in the dataset = 64 meV/atom
# DFT total energy = -6.50 eV/atom
# Magnetic moment = 0.0 μB per formula unit
# Calculated density = 13.64 g cm⁻³

---

Record 6
# Sm2Tm2Pt3, relaxed, DFT GGA-PBE
data_Sm2Tm2Pt3
_cell_length_a 8.765
_cell_length_b 8.765
_cell_length_c 8.765
_cell_angle_alpha 90.00
_cell_angle_beta 90.00
_cell_angle_gamma 90.00
_symmetry_space_group_name_H-M 'I 21 3'
_symmetry_Int_Tables_number 199
_symmetry_space_group_name_Hall 'I 2b 2c 3'
loop_
_atom_site_label
_atom_site_type_symbol
_atom_site_fract_x
_atom_site_fract_y
_atom_site_fract_z
Sm1 Sm 0.064 0.064 0.064
Tm1 Tm 0.187 0.313 0.687
Pt1 Pt 0.000 0.250 0.385
# Energy of formation = -1080 meV/atom
# DFT total energy = -6.29 eV/atom
# Magnetic moment = 0.0 μB per formula unit
# Calculated density = 12.07 g cm⁻³

---

Look up the magnetic moment of the third one. 0.0 μB per formula unit

---

Which value of calculated density does entry 1 give? 10.12 g cm⁻³

---

Among the records above, which one has the highest energy of formation? SmTlZnPt

---

What is the formula in the third record? SmTlZnPt